First-principles (PBE+U) data for a geometry-optimized V3NiO8 structure, as listed in the Alexandria database.

Cell lengths 6.3798, 6.3798, 6.4486 Å; angles 105.95, 105.95, 34.49 degrees
Closest atoms and distances in Å follow each position.
Element x y z (fractional)
V 0.0000 0.0000 0.0000  4 O 1.71-1.92
V 0.1079 0.1079 0.5851  5 O 1.81-2.02
V 0.8021 0.8021 0.5617  2 O 1.65-1.77
Ni 0.6957 0.6957 0.9782  6 O 1.98-2.19
O 0.0437 0.0437 0.2947  2 V 1.81-1.82
O 0.1490 0.1490 0.9131  2 Ni 1.98, 2 V 2.03-2.05
O 0.2706 0.2706 0.5959  3 V 1.96
O 0.5241 0.5241 0.9910  2 V 1.92, 1 Ni 2.12
O 0.6463 0.6463 0.6230  3 V 1.95-2.05
O 0.7682 0.7682 0.2953  1 V 1.65
O 0.8534 0.8534 0.9317  1 V 1.71
O 0.9542 0.9542 0.6443  1 V 1.77

Output
ΔE to the lowest computed polymorph   0.00 kJ/mol of atoms
Space-group type   Cm, No. 8
Raw total energy   -85.2 eV per cell
Magnetic moment   3.00 Bohr magnetons per cell